## Np2SnGe3Rh4 (GGA-PBE)

Data for crystalline Np2SnGe3Rh4 at its relaxed geometry.

## Properties
The formation energy is -0.456 eV per atom. The crystal system is tetragonal. The calculation puts the calculated volume at 18.7 Å³ per atom. The calculation puts the density of states at the Fermi level at 2.538 states/eV per atom.

Unit cell a=4.124 b=4.124 c=10.982 alpha=90.00 beta=90.00 gamma=90.00
Atoms (fractional coordinates):
Np1 0.000 0.500 0.243
Np2 0.500 0.000 0.757
Sn1 0.000 0.000 0.500
Ge1 0.000 0.500 0.875
Ge2 0.500 0.000 0.125
Ge3 0.500 0.500 0.500
Rh1 0.000 0.000 0.000
Rh2 0.000 0.500 0.655
Rh3 0.500 0.000 0.345
Rh4 0.500 0.500 0.000